No. 1
HgOsBr2: relaxed, PBE.

Values from the calculation:
ΔE_f (raw)	0.87	eV/atom
space group	P4mm, No. 99
energy above the lowest structure with this stoichiometry	0.569	eV/atom

Cell lengths 3.7498, 3.7498, 7.6438 Å; angles 90.00, 90.00, 90.00 degrees
Last column: nearest neighbours and their distance in Å.
Atoms (fractional coordinates):
Hg  0.0000  0.0000  0.0000  4 Os 2.76, 1 Br 2.85
Os  0.5000  0.5000  0.1002  1 Br 2.50, 4 Hg 2.76
Br  0.0000  0.0000  0.3731  1 Hg 2.85
Br  0.5000  0.5000  0.7727  1 Os 2.50

***

No. 2
Pr4HgOsBr2: relaxed, PBE.

Values from the calculation:
ΔE_f (raw)	-0.76	eV/atom
space group	P2/m, No. 10

Cell lengths 7.7724, 4.1526, 8.3842 Å; angles 90.00, 109.23, 90.00 degrees
Last column: nearest neighbours and their distance in Å.
Atoms (fractional coordinates):
Pr  0.2107  0.0000  0.2928  1 Os 2.75
Pr  0.2293  0.5000  0.6996  2 Os 2.88, 1 Hg 3.09
Pr  0.7707  0.5000  0.3004  2 Os 2.88, 1 Hg 3.09
Pr  0.7893  0.0000  0.7072  1 Os 2.75
Hg  0.5000  0.5000  0.5000  6 Pr 3.09-3.13
Os  0.0000  0.0000  0.5000  6 Pr 2.75-2.88
Br  0.0000  0.5000  0.0000  6 Pr 3.22-3.53
Br  0.5000  0.0000  0.0000  4 Pr 3.40

***

No. 3
Rb2HgOsBr6: relaxed, PBE.

Values from the calculation:
ΔE_f (raw)	-0.74	eV/atom
space group	I4/mmm, No. 139

Cell lengths 8.0907, 8.0907, 8.0907 Å; angles 119.97, 119.97, 90.05 degrees
Last column: nearest neighbours and their distance in Å.
Atoms (fractional coordinates):
Rb  0.2500  0.7500  0.5000  12 Br 4.06
Rb  0.7500  0.2500  0.5000  12 Br 4.06
Hg  0.0000  0.0000  0.0000  6 Br 3.20-3.21
Os  0.5000  0.5000  0.0000  6 Br 2.52
Br  0.2799  0.2799  0.0000  1 Os 2.52
Br  0.2801  0.2801  0.5602  1 Os 2.52
Br  0.2801  0.7199  0.0000  1 Os 2.52
Br  0.7199  0.2801  0.0000  1 Os 2.52
Br  0.7201  0.7201  0.0000  1 Os 2.52
Br  0.7199  0.7199  0.4398  1 Os 2.52

***

No. 4
HgOsSe2Br: relaxed, PBE.

Values from the calculation:
ΔE_f (raw)	0.41	eV/atom
space group	P4/mmm, No. 123
energy above the lowest structure with this stoichiometry	0.000	eV/atom

Cell lengths 4.8390, 4.8390, 5.4047 Å; angles 90.00, 90.00, 90.00 degrees
Last column: nearest neighbours and their distance in Å.
Atoms (fractional coordinates):
Hg  0.0000  0.0000  0.0000  4 Br 3.42, 8 Se 3.63
Os  0.5000  0.5000  0.5000  4 Se 2.42, 2 Br 2.70
Se  0.0000  0.5000  0.5000  2 Os 2.42
Se  0.5000  0.0000  0.5000  2 Os 2.42
Br  0.5000  0.5000  0.0000  2 Os 2.70

***

No. 5
HgPBr2: relaxed, PBE.

Values from the calculation:
ΔE_f (raw)	0.24	eV/atom
space group	R-3m, No. 166
energy above the lowest structure with this stoichiometry	0.469	eV/atom

Cell lengths 9.8359, 9.8359, 9.8359 Å; angles 23.97, 23.97, 23.97 degrees
Last column: nearest neighbours and their distance in Å.
Atoms (fractional coordinates):
Hg  0.0000  0.0000  0.0000  6 Hg 4.08, 6 Br 4.16
P  0.5000  0.5000  0.5000  6 Br 2.72
Br  0.2138  0.2138  0.2138  3 P 2.72
Br  0.7862  0.7862  0.7862  3 P 2.72

***

No. 6
HgPBr2: relaxed, PBE.

Values from the calculation:
ΔE_f (raw)	0.68	eV/atom
space group	F-43m, No. 216
energy above the lowest structure with this stoichiometry	0.912	eV/atom

Cell lengths 5.1027, 5.1027, 5.1027 Å; angles 60.00, 60.00, 60.00 degrees
Last column: nearest neighbours and their distance in Å.
Atoms (fractional coordinates):
Hg  0.0000  0.0000  0.0000  4 Br 3.12, 4 P 3.12
P  0.7500  0.7500  0.7500  4 Br 3.12, 4 Hg 3.12
Br  0.2500  0.2500  0.2500  4 Hg 3.12, 4 Br 3.12
Br  0.5000  0.5000  0.5000  4 P 3.12, 4 Br 3.12

***

No. 7
Hg5P2Br2: relaxed, PBE.

Values from the calculation:
ΔE_f (raw)	-0.04	eV/atom
space group	C2/m, No. 12

Cell lengths 7.0787, 7.0787, 7.2489 Å; angles 101.10, 101.10, 48.36 degrees
Last column: nearest neighbours and their distance in Å.
Atoms (fractional coordinates):
Hg  0.0000  0.0000  0.0000  2 P 3.19, 2 Hg 3.32
Hg  0.1943  0.1943  0.7638  1 P 2.48, 1 Br 2.65
Hg  0.4024  0.4024  0.5861  2 P 2.93, 2 Hg 3.04-3.22
Hg  0.5976  0.5976  0.4139  2 P 2.93, 2 Hg 3.04-3.22
Hg  0.8057  0.8057  0.2362  1 P 2.48, 1 Br 2.65
P  0.0730  0.0730  0.4487  1 P 2.17
P  0.9270  0.9270  0.5513  1 P 2.17
Br  0.3468  0.3468  0.0726  1 Hg 2.65
Br  0.6532  0.6532  0.9274  1 Hg 2.65

***

No. 8
HgPBr2: relaxed, PBE.

Values from the calculation:
ΔE_f (raw)	0.13	eV/atom
space group	Cmmm, No. 65
energy above the lowest structure with this stoichiometry	0.357	eV/atom

Cell lengths 4.1993, 4.1993, 10.6493 Å; angles 90.00, 90.00, 128.90 degrees
Last column: nearest neighbours and their distance in Å.
Atoms (fractional coordinates):
Hg  0.0000  0.0000  0.0000  2 Hg 3.62, 4 Br 3.97
P  0.0000  0.0000  0.5000  4 Br 2.55
Br  0.5000  0.5000  0.3316  2 P 2.55
Br  0.5000  0.5000  0.6684  2 P 2.55

***

No. 9
HgPBr2: relaxed, PBE.

Values from the calculation:
ΔE_f (raw)	0.42	eV/atom
space group	Pmmm, No. 47
energy above the lowest structure with this stoichiometry	0.650	eV/atom

Cell lengths 3.9279, 4.0898, 7.2598 Å; angles 90.00, 90.00, 90.00 degrees
Last column: nearest neighbours and their distance in Å.
Atoms (fractional coordinates):
Hg  0.0000  0.0000  0.0000  4 Br 2.84
P  0.5000  0.0000  0.5000  4 Br 2.84
Br  0.0000  0.5000  0.5000  4 P 2.84
Br  0.5000  0.5000  0.0000  4 Hg 2.84

***

No. 10
HgPBr2: relaxed, PBE.

Values from the calculation:
ΔE_f (raw)	0.66	eV/atom
space group	Fm-3m, No. 225
energy above the lowest structure with this stoichiometry	0.885	eV/atom

Cell lengths 5.1636, 5.1636, 5.1636 Å; angles 60.00, 60.00, 60.00 degrees
Last column: nearest neighbours and their distance in Å.
Atoms (fractional coordinates):
Hg  0.0000  0.0000  0.0000  8 Br 3.16
P  0.5000  0.5000  0.5000  8 Br 3.16
Br  0.2500  0.2500  0.2500  4 Hg 3.16, 4 P 3.16
Br  0.7500  0.7500  0.7500  4 Hg 3.16, 4 P 3.16

***

No. 11
HgP2Br: relaxed, PBE.

Values from the calculation:
ΔE_f (raw)	0.81	eV/atom
space group	I-42d, No. 122
energy above the lowest structure with this stoichiometry	0.781	eV/atom

Cell lengths 8.1091, 8.1091, 8.1091 Å; angles 140.45, 140.45, 57.17 degrees
Last column: nearest neighbours and their distance in Å.
Atoms (fractional coordinates):
Hg  0.0000  0.0000  0.0000  4 P 2.58
Hg  0.7500  0.2500  0.5000  4 P 2.58
P  0.1073  0.6250  0.9823  2 Hg 2.58, 2 Br 2.68
P  0.3750  0.3573  0.4823  2 Hg 2.58, 2 Br 2.68
P  0.6427  0.1250  0.0177  2 Hg 2.58, 2 Br 2.68
P  0.8750  0.8927  0.5177  2 Hg 2.58, 2 Br 2.68
Br  0.2500  0.7500  0.5000  4 P 2.68
Br  0.5000  0.5000  0.0000  4 P 2.68

***

No. 12
HgP2Br: relaxed, PBE.

Values from the calculation:
ΔE_f (raw)	0.63	eV/atom
space group	I4/mmm, No. 139
energy above the lowest structure with this stoichiometry	0.600	eV/atom

Cell lengths 7.8395, 7.8395, 7.8395 Å; angles 152.31, 152.31, 39.56 degrees
Last column: nearest neighbours and their distance in Å.
Atoms (fractional coordinates):
Hg  0.0000  0.0000  0.0000  4 Br 2.65
P  0.2500  0.7500  0.5000  4 P 2.65
P  0.7500  0.2500  0.5000  4 P 2.65
Br  0.5000  0.5000  0.0000  4 Hg 2.65

***

No. 13
HgPBr2: relaxed, PBE.

Values from the calculation:
ΔE_f (raw)	0.12	eV/atom
space group	Immm, No. 71
energy above the lowest structure with this stoichiometry	0.349	eV/atom

Cell lengths 6.6870, 6.6870, 6.6870 Å; angles 148.35, 115.83, 73.32 degrees
Last column: nearest neighbours and their distance in Å.
Atoms (fractional coordinates):
Hg  0.0000  0.0000  0.0000  2 Hg 3.65, 8 Br 3.96-4.04, 4 P 3.99
P  0.5000  0.5000  0.0000  4 Br 2.53
Br  0.3361  0.8361  0.5000  2 P 2.53
Br  0.6639  0.1639  0.5000  2 P 2.53